{"formula": "NbBrNF2", "functional": "PBE", "state": "relaxed", "m_tot_mub_per_cell": 0.01, "relative_energy_mev_per_atom": 0.0, "dos_ef_per_ev_fu": 4.4, "lattice": [[4.188, 0.000, 0.000], [0.000, 4.188, 0.000], [0.000, 0.000, 4.115]], "species": ["Nb", "Br", "N", "F", "F"], "fractional_positions": [[0.000, 0.000, 0.000], [0.500, 0.500, 0.500], [0.000, 0.000, 0.500], [0.000, 0.500, 0.000], [0.500, 0.000, 0.000]]}